Entry 1:
Here is an optimized crystal structure of CsPt2Au2 from the Alexandria database. Energies are from GGA-PBE.

Unit cell a=6.296 b=6.296 c=6.296 alpha=135.35 beta=135.35 gamma=64.99
Fractional positions:
Cs  0.000  0.000  0.000
Pt  0.379  0.379  0.000
Pt  0.621  0.621  0.000
Au  0.250  0.750  0.500
Au  0.750  0.250  0.500

Computed properties:
The value obtained for the energy above the lowest structure with this stoichiometry is 10.3 meV per atom. The value obtained for the total DFT energy (no corrections) is -3.697 eV/atom. The spin magnetization comes out at 0.00 μB per cell. The space group is I4/mmm. The formation energy from the elements comes out at 0.2008 eV/atom.

=====

Entry 2:
Here is an optimized crystal structure of Cs2RbPtAu from the Alexandria database. Energies are from GGA-PBE.

Unit cell a=6.565 b=6.565 c=6.348 alpha=90.00 beta=90.00 gamma=90.00
Fractional positions:
Cs  0.000  0.500  0.000
Cs  0.500  0.000  0.000
Rb  0.000  0.000  0.500
Pt  0.000  0.000  0.000
Au  0.500  0.500  0.500

Computed properties:
The value obtained for the energy above the lowest structure with this stoichiometry is 0.0 meV per atom. The value obtained for the total DFT energy (no corrections) is -2.443 eV/atom. The spin magnetization comes out at 0.00 μB per cell. The space group is P4/mmm. The formation energy from the elements comes out at -0.0444 eV/atom.

=====

Entry 3:
Here is an optimized crystal structure of Cs2RbPtAu from the Alexandria database. Energies are from GGA-PBE.

Unit cell a=6.531 b=6.531 c=5.400 alpha=90.00 beta=90.00 gamma=90.00
Fractional positions:
Cs  0.000  0.500  0.000
Cs  0.500  0.000  0.000
Rb  0.000  0.000  0.500
Pt  0.500  0.500  0.000
Au  0.500  0.500  0.500

Computed properties:
The value obtained for the energy above the lowest structure with this stoichiometry is 69.8 meV per atom. The value obtained for the total DFT energy (no corrections) is -2.373 eV/atom. The spin magnetization comes out at 0.00 μB per cell. The space group is P4/mmm. The formation energy from the elements comes out at 0.0254 eV/atom.

=====

Entry 4:
Here is an optimized crystal structure of CsRuPt2Au from the Alexandria database. Energies are from GGA-PBE.

Unit cell a=4.823 b=4.823 c=6.027 alpha=90.00 beta=90.00 gamma=90.00
Fractional positions:
Cs  0.000  0.000  0.000
Ru  0.000  0.000  0.500
Pt  0.000  0.500  0.500
Pt  0.500  0.000  0.500
Au  0.500  0.500  0.000

Computed properties:
The value obtained for the total DFT energy (no corrections) is -3.900 eV/atom. The spin magnetization comes out at 0.00 μB per cell. The space group is P4/mmm. The formation energy from the elements comes out at 1.1976 eV/atom.

=====

Entry 5:
Here is an optimized crystal structure of Cs2PtAuS from the Alexandria database. Energies are from GGA-PBE.

Unit cell a=6.778 b=6.778 c=5.012 alpha=90.00 beta=90.00 gamma=90.00
Fractional positions:
Cs  0.000  0.500  0.000
Cs  0.500  0.000  0.000
Pt  0.000  0.000  0.500
Au  0.000  0.000  0.000
S  0.500  0.500  0.500

Computed properties:
The value obtained for the total DFT energy (no corrections) is -2.835 eV/atom. The spin magnetization comes out at 1.43 μB per cell. The value obtained for the formation energy without anion corrections is 0.196 eV per atom. The space group is P4/mmm.

=====

Entry 6:
Here is an optimized crystal structure of CsSbPt2Au from the Alexandria database. Energies are from GGA-PBE.

Unit cell a=7.432 b=4.476 c=9.391 alpha=90.00 beta=101.71 gamma=90.00
Fractional positions:
Cs  0.223  0.250  0.374
Cs  0.777  0.750  0.626
Sb  0.103  0.250  0.895
Sb  0.897  0.750  0.105
Pt  0.229  0.750  0.034
Pt  0.456  0.250  0.077
Pt  0.544  0.750  0.923
Pt  0.771  0.250  0.966
Au  0.426  0.250  0.755
Au  0.574  0.750  0.245

Computed properties:
The value obtained for the total DFT energy (no corrections) is -4.253 eV/atom. The spin magnetization comes out at 0.00 μB per cell. The value obtained for the formation energy without anion corrections is -0.186 eV per atom. The space group is P2_1/m.

=====

Entry 7:
Here is an optimized crystal structure of Cs2SbPtAu from the Alexandria database. Energies are from GGA-PBE.

Unit cell a=6.740 b=6.740 c=5.114 alpha=90.00 beta=90.00 gamma=90.00
Fractional positions:
Cs  0.000  0.500  0.000
Cs  0.500  0.000  0.000
Sb  0.000  0.000  0.500
Pt  0.500  0.500  0.000
Au  0.500  0.500  0.500

Computed properties:
The value obtained for the total DFT energy (no corrections) is -2.742 eV/atom. The spin magnetization comes out at 2.68 μB per cell. The value obtained for the formation energy without anion corrections is 0.287 eV per atom. The space group is P4/mmm.

=====

Entry 8:
Here is an optimized crystal structure of Cs2Tl2Pt2Au from the Alexandria database. Energies are from GGA-PBE.

Unit cell a=7.320 b=7.320 c=9.954 alpha=127.69 beta=127.69 gamma=35.44
Fractional positions:
Cs  0.205  0.205  0.152
Cs  0.795  0.795  0.848
Tl  0.466  0.466  0.697
Tl  0.534  0.534  0.303
Pt  0.193  0.193  0.495
Pt  0.807  0.807  0.505
Au  0.000  0.000  0.500

Computed properties:
The value obtained for the total DFT energy (no corrections) is -3.335 eV/atom. The spin magnetization comes out at 0.00 μB per cell. The space group is C2/m. The formation energy from the elements comes out at -0.2214 eV/atom.

=====

Entry 9:
Here is an optimized crystal structure of CsTl2PtAu from the Alexandria database. Energies are from GGA-PBE.

Unit cell a=5.326 b=5.326 c=6.641 alpha=90.00 beta=90.00 gamma=90.00
Fractional positions:
Cs  0.000  0.000  0.000
Tl  0.000  0.500  0.500
Tl  0.500  0.000  0.500
Pt  0.000  0.000  0.500
Au  0.500  0.500  0.000

Computed properties:
The value obtained for the energy above the lowest structure with this stoichiometry is 120.0 meV per atom. The value obtained for the total DFT energy (no corrections) is -2.991 eV/atom. The spin magnetization comes out at 0.00 μB per cell. The space group is P4/mmm. The formation energy from the elements comes out at -0.0097 eV/atom.

=====

Entry 10:
Here is an optimized crystal structure of Cs2TlPtAu from the Alexandria database. Energies are from GGA-PBE.

Unit cell a=6.638 b=6.638 c=5.273 alpha=90.00 beta=90.00 gamma=90.00
Fractional positions:
Cs  0.000  0.500  0.000
Cs  0.500  0.000  0.000
Tl  0.000  0.000  0.500
Pt  0.000  0.000  0.000
Au  0.500  0.500  0.500

Computed properties:
The value obtained for the energy above the lowest structure with this stoichiometry is 102.7 meV per atom. The value obtained for the total DFT energy (no corrections) is -2.768 eV/atom. The spin magnetization comes out at 0.00 μB per cell. The space group is P4/mmm. The formation energy from the elements comes out at -0.0896 eV/atom.

=====

Entry 11:
Here is an optimized crystal structure of Cs2TlPtAu from the Alexandria database. Energies are from GGA-PBE.

Unit cell a=5.115 b=5.115 c=16.080 alpha=90.00 beta=90.00 gamma=90.00
Fractional positions:
Cs  0.250  0.250  0.119
Cs  0.250  0.250  0.662
Cs  0.750  0.750  0.338
Cs  0.750  0.750  0.881
Tl  0.250  0.250  0.421
Tl  0.750  0.750  0.579
Pt  0.250  0.750  0.500
Pt  0.750  0.250  0.500
Au  0.250  0.250  0.891
Au  0.750  0.750  0.109

Computed properties:
The value obtained for the energy above the lowest structure with this stoichiometry is 0.0 meV per atom. The value obtained for the total DFT energy (no corrections) is -2.871 eV/atom. The spin magnetization comes out at 0.00 μB per cell. The space group is P4/nmm. The formation energy from the elements comes out at -0.1923 eV/atom.

=====

Entry 12:
Here is an optimized crystal structure of CsTl2PtAu from the Alexandria database. Energies are from GGA-PBE.

Unit cell a=5.334 b=5.334 c=5.585 alpha=90.00 beta=90.00 gamma=90.00
Fractional positions:
Cs  0.000  0.000  0.000
Tl  0.000  0.500  0.500
Tl  0.500  0.000  0.500
Pt  0.500  0.500  0.500
Au  0.500  0.500  0.000

Computed properties:
The value obtained for the energy above the lowest structure with this stoichiometry is 0.0 meV per atom. The value obtained for the total DFT energy (no corrections) is -3.111 eV/atom. The spin magnetization comes out at 0.00 μB per cell. The space group is P4/mmm. The formation energy from the elements comes out at -0.1297 eV/atom.

=====

Entry 13:
Here is an optimized crystal structure of Cs2ZnPtAu from the Alexandria database. Energies are from GGA-PBE.

Unit cell a=6.621 b=6.621 c=4.858 alpha=90.00 beta=90.00 gamma=90.00
Fractional positions:
Cs  0.000  0.500  0.000
Cs  0.500  0.000  0.000
Zn  0.000  0.000  0.500
Pt  0.000  0.000  0.000
Au  0.500  0.500  0.500

Computed properties:
The value obtained for the total DFT energy (no corrections) is -2.545 eV/atom. The spin magnetization comes out at 0.00 μB per cell. The space group is P4/mmm. The formation energy from the elements comes out at -0.0848 eV/atom.